This record from the Alexandria database describes crystalline Ba2Li3Ho3W8O32 at its relaxed geometry. The functional is PBE+U.

Output
* E_tot: -7.378 eV/atom
* M_tot: 0.00 μB/atom
* V: 13.538 A^3/atom

Cell and atoms, written as POSCAR:
```
Ba2Li3Ho3W8O32
1.0
-4.622 1.157 -2.051
-3.283 -5.901 -1.677
-8.649 -0.980 16.970
W O Ba Li Ho
8 32 2 3 3
direct
0.521 0.101 0.903 W
0.324 0.192 0.591 W
0.776 0.488 0.862 W
0.332 0.465 0.161 W
0.290 0.452 0.348 W
0.462 0.976 0.412 W
0.589 0.859 0.100 W
0.710 0.480 0.641 W
0.288 0.083 0.103 O
0.573 0.651 0.042 O
0.434 0.670 0.875 O
0.990 0.369 0.549 O
0.764 0.245 0.830 O
0.113 0.366 0.216 O
0.240 0.958 0.606 O
0.844 0.943 0.044 O
0.532 0.128 0.510 O
0.115 0.263 0.372 O
0.344 0.133 0.821 O
0.495 0.563 0.719 O
0.147 0.970 0.462 O
0.823 0.877 0.900 O
0.959 0.579 0.794 O
0.629 0.170 0.376 O
0.141 0.497 0.076 O
0.275 0.025 0.963 O
0.729 0.767 0.452 O
0.004 0.456 0.938 O
0.423 0.495 0.579 O
0.577 0.309 0.956 O
0.669 0.287 0.135 O
0.765 0.813 0.181 O
0.439 0.870 0.327 O
0.353 0.545 0.431 O
0.048 0.305 0.680 O
0.529 0.440 0.267 O
0.597 0.183 0.657 O
0.011 0.665 0.318 O
0.810 0.707 0.623 O
0.324 0.731 0.167 O
0.033 0.926 0.738 Ba
0.961 0.052 0.261 Ba
0.301 0.359 0.747 Li
0.833 0.245 0.458 Li
0.698 0.657 0.267 Li
0.928 0.268 0.037 Ho
0.181 0.701 0.977 Ho
0.079 0.717 0.523 Ho
```